Density functional theory data (SCAN) for MgZnMo2 at its PBEsol-relaxed geometry.

Geometry as POSCAR:
```
MgZnMo2
1.0
3.3704 0.0000 0.0000
0.0000 3.3704 0.0000
0.0000 0.0000 5.6849
Mg Zn Mo
1 1 2
direct
0.0000 0.0000 0.0000
0.0000 0.0000 0.5000
0.5000 0.5000 0.3001
0.5000 0.5000 0.6999
```

Summary:
As for the relative energy among the computed polymorphs: 237.4 meV per atom. The value obtained for the electronic total energy is -21.71 eV/atom. Its space group is P4/mmm, No. 123. The density of states at the Fermi level comes out at 0.43 states/eV per atom. The formation enthalpy at 0 K is 8.271 kcal/mol of atoms.

=====

Density functional theory data (SCAN) for Gd3YO6 at its PBEsol-relaxed geometry.

Geometry as POSCAR:
```
Gd3YO6
1.0
4.4897 -5.5850 0.0000
4.4897 5.5850 0.0000
0.0000 0.0000 5.7132
Gd Y O
6 2 12
direct
0.1024 0.8976 0.5000
0.1879 0.4117 0.4437
0.4117 0.1879 0.9437
0.5883 0.8121 0.4437
0.8121 0.5883 0.9437
0.8976 0.1024 0.0000
0.3366 0.6634 0.9321
0.6634 0.3366 0.4321
0.0796 0.5980 0.7315
0.1446 0.1793 0.7256
0.1793 0.1446 0.2256
0.2774 0.7226 0.2913
0.4020 0.9204 0.7315
0.4845 0.5155 0.6605
0.5155 0.4845 0.1605
0.5980 0.0796 0.2315
0.7226 0.2774 0.7913
0.8207 0.8554 0.7256
0.8554 0.8207 0.2256
0.9204 0.4020 0.2315
```

Summary:
The value obtained for the electronic total energy is -27.86 eV/atom. Its space group is Cmc2_1, No. 36. The raw formation energy comes out at -3.70 eV/atom. The density of states at the Fermi level comes out at 0.00 states/eV per atom.

=====

Density functional theory data (SCAN) for ZrIrSe at its PBEsol-relaxed geometry.

Geometry as POSCAR:
```
ZrIrSe
1.0
0.0000 3.0362 3.0362
3.0362 0.0000 3.0362
3.0362 3.0362 0.0000
Zr Ir Se
1 1 1
direct
0.0000 0.0000 0.0000
0.5000 0.5000 0.5000
0.7500 0.7500 0.7500
```

Summary:
The value obtained for the electronic total energy is -40.89 eV/atom. Its space group is F-43m, No. 216. The raw formation energy comes out at -0.26 eV/atom. The density of states at the Fermi level comes out at 0.61 states/eV per atom.

=====

Density functional theory data (SCAN) for Nb2Se4O13 at its PBEsol-relaxed geometry.

Geometry as POSCAR:
```
Nb2Se4O13
1.0
11.4003 0.0000 0.0000
0.0000 6.6725 0.0000
-2.4551 0.0000 7.1705
Nb Se O
4 8 26
direct
0.0000 0.0012 0.0000
0.0000 0.9988 0.5000
0.6509 0.4969 0.5550
0.6509 0.5031 0.0550
0.3301 0.0754 0.1068
0.3301 0.9246 0.6068
0.3389 0.4752 0.7803
0.3389 0.5248 0.2803
0.6595 0.0483 0.8234
0.6595 0.9517 0.3234
0.9926 0.4524 0.7349
0.9926 0.5476 0.2349
0.0057 0.2902 0.9170
0.0057 0.7098 0.4170
0.1822 0.0212 0.5678
0.1822 0.9788 0.0678
0.2279 0.4119 0.8675
0.2279 0.5881 0.3675
0.3240 0.2486 0.2914
0.3240 0.7514 0.7914
0.4159 0.0998 0.7451
0.4159 0.9002 0.2451
0.4651 0.4658 0.9874
0.4651 0.5342 0.4874
0.6398 0.4220 0.3164
0.6398 0.5780 0.8164
0.6408 0.2114 0.6387
0.6408 0.7886 0.1387
0.6630 0.2081 0.0059
0.6630 0.7919 0.5059
0.8155 0.0041 0.8800
0.8155 0.9959 0.3800
0.8332 0.4872 0.6671
0.8332 0.5128 0.1671
0.9945 0.2940 0.5534
0.9945 0.7060 0.0534
0.9971 0.0791 0.2304
0.9971 0.9209 0.7304
```

Summary:
The value obtained for the electronic total energy is -13.49 eV/atom. Its space group is Pc, No. 7. The raw formation energy comes out at -1.51 eV/atom. The density of states at the Fermi level comes out at 0.00 states/eV per atom.

=====

Density functional theory data (SCAN) for CaZrW2 at its PBEsol-relaxed geometry.

Geometry as POSCAR:
```
CaZrW2
1.0
2.7152 0.0000 0.0000
0.0000 4.8936 0.0000
0.0000 0.0000 5.9511
Ca Zr W
1 1 2
direct
0.0000 0.0000 0.0000
0.0000 0.0000 0.5000
0.5000 0.5000 0.2855
0.5000 0.5000 0.7145
```

Summary:
As for the relative energy among the computed polymorphs: 317.0 meV per atom. The value obtained for the electronic total energy is -44.19 eV/atom. Its space group is Pmmm, No. 47. The density of states at the Fermi level comes out at 0.72 states/eV per atom. The formation enthalpy at 0 K is 17.241 kcal/mol of atoms.

=====

Density functional theory data (SCAN) for Ca2AlAg at its PBEsol-relaxed geometry.

Geometry as POSCAR:
```
Ca2AlAg
1.0
3.6175 0.0000 0.0000
0.0000 3.6175 0.0000
0.0000 0.0000 7.4927
Ca Al Ag
2 1 1
direct
0.0000 0.0000 0.2454
0.0000 0.0000 0.7546
0.5000 0.5000 0.5000
0.5000 0.5000 0.0000
```

Summary:
The value obtained for the electronic total energy is -14.85 eV/atom. Its space group is P4/mmm, No. 123. The density of states at the Fermi level comes out at 0.48 states/eV per atom. The formation enthalpy at 0 K is -5.562 kcal/mol of atoms.

=====

Density functional theory data (SCAN) for ZrFe4Si2 at its PBEsol-relaxed geometry.

Geometry as POSCAR:
```
ZrFe4Si2
1.0
6.8369 0.0000 0.0000
0.0000 6.8369 0.0000
0.0000 0.0000 3.6564
Zr Fe Si
2 8 4
direct
0.0000 0.0000 0.0000
0.5000 0.5000 0.5000
0.0864 0.3527 0.5000
0.1473 0.5864 0.0000
0.3527 0.0864 0.5000
0.4136 0.8527 0.0000
0.5864 0.1473 0.0000
0.6473 0.9136 0.5000
0.8527 0.4136 0.0000
0.9136 0.6473 0.5000
0.2180 0.7820 0.5000
0.2820 0.2820 0.0000
0.7180 0.7180 0.0000
0.7820 0.2180 0.5000
```

Summary:
The value obtained for the electronic total energy is -18.02 eV/atom. Its space group is P4_2/mnm, No. 136. The raw formation energy comes out at -0.41 eV/atom. The density of states at the Fermi level comes out at 0.81 states/eV per atom.

=====

Density functional theory data (SCAN) for NaNd3Ti2Sb2O14 at its PBEsol-relaxed geometry.

Geometry as POSCAR:
```
NaNd3Ti2Sb2O14
1.0
6.2766 -3.6986 0.0000
6.2766 3.6986 0.0000
-4.1038 0.0000 5.9768
Na Nd Ti Sb O
1 3 2 2 14
direct
0.0000 0.0000 0.0000
0.0000 0.0000 0.5000
0.0000 0.5000 0.0000
0.5000 0.0000 0.0000
0.5000 0.5000 0.0000
0.5000 0.5000 0.5000
0.0000 0.5000 0.5000
0.5000 0.0000 0.5000
0.1273 0.1273 0.8752
0.1730 0.1730 0.4267
0.1770 0.5766 0.4241
0.1810 0.5605 0.8208
0.4234 0.8230 0.5759
0.4303 0.4303 0.1831
0.4395 0.8190 0.1792
0.5605 0.1810 0.8208
0.5697 0.5697 0.8169
0.5766 0.1770 0.4241
0.8190 0.4395 0.1792
0.8230 0.4234 0.5759
0.8270 0.8270 0.5733
0.8727 0.8727 0.1248
```

Summary:
As for the relative energy among the computed polymorphs: 2.7 meV per atom. The value obtained for the electronic total energy is -17.87 eV/atom. Its space group is C2/m, No. 12. The raw formation energy comes out at -2.93 eV/atom. The density of states at the Fermi level comes out at 0.00 states/eV per atom.